[1]
Below is an optimized crystal structure of CsBaMgH2, with properties calculated at the PBE-GGA level.

Cell: 5.296 5.296 11.102 Å, 90.00 90.00 90.00°
Fractional positions:
Cs  0.000  0.000  0.000
Ba  0.000  0.000  0.500
Mg  0.500  0.500  0.000
H  0.000  0.500  0.500
H  0.500  0.000  0.500

Values from the calculation:
Its calculated volume is 62.27 Å³ per atom. The uncorrected energy is -1.91 eV/atom.



[2]
Below is an optimized crystal structure of CsBa2MgH, with properties calculated at the PBE-GGA level.

Cell: 5.783 5.783 6.282 Å, 90.00 90.00 90.00°
Fractional positions:
Cs  0.000  0.000  0.000
Ba  0.000  0.500  0.500
Ba  0.500  0.000  0.500
Mg  0.500  0.500  0.000
H  0.000  0.000  0.500

Values from the calculation:
Its calculated volume is 42.01 Å³ per atom. The uncorrected energy is -1.92 eV/atom.